[1]
# LiMgH3

LiMgH3 after structural relaxation (GGA-PBE, Alexandria).

Cell lengths 2.957, 4.678, 6.978 Å; angles 90.00, 90.00, 90.00 degrees
Fractional coordinates of all 10 atoms:
Li  0.000  0.040  0.000
Li  0.000  0.960  0.500
Mg  0.500  0.500  0.251
Mg  0.500  0.500  0.751
H  0.000  0.249  0.313
H  0.000  0.249  0.688
H  0.000  0.751  0.188
H  0.000  0.751  0.813
H  0.500  0.294  0.001
H  0.500  0.706  0.501

Computed properties:
Excess energy over the best structure of this formula in the dataset ... 2.0 kJ per mole of atoms
DOS(E_F) ... 0.00 states/eV/cell

[2]
# La4Bi2Br3

La4Bi2Br3 after structural relaxation (GGA-PBE, Alexandria).

Cell lengths 4.585, 4.585, 17.825 Å; angles 90.08, 90.08, 59.99 degrees
Fractional coordinates of all 9 atoms:
La  0.001  0.001  0.305
La  0.334  0.334  0.095
La  0.666  0.666  0.905
La  0.999  0.999  0.695
Bi  0.333  0.333  0.798
Bi  0.667  0.667  0.202
Br  0.000  0.000  0.000
Br  0.335  0.335  0.400
Br  0.665  0.665  0.600

Computed properties:
Energy relative to the elements, uncorrected ... -1365 meV/atom
DOS(E_F) ... 4.83 states/eV/cell